RbLaMnIr2 | PBE | relaxed

Output
Calculated formation energy   0.7671 eV/atom
Crystal system   tetragonal
Space-group type   P4/mmm, No. 123

a = 4.708 Å, b = 4.957 Å, c = 4.708 Å
α = 90.00°, β = 90.00°, γ = 90.00°
Positions (direct):
La  0.500  0.500  0.500
Ir  0.000  0.000  0.500
Ir  0.500  0.000  0.000
Mn  0.000  0.000  0.000
Rb  0.000  0.500  0.000